VASP calculation (PBE-GGA) on a relaxed structure of ScBeTl.

Computed properties:
As for the energy above the most stable polymorph in this dataset: 4.71 kJ/mol of atoms. As for the space group: No. 216. The calculation puts the theoretical density at 7.41 g/cm³. As for the formation energy: -0.0389 eV per atom. The calculation puts the density of states at the Fermi level at 3.55 states/eV/cell.

Lattice parameters (Å, degrees): 6.1418 6.1418 6.1418 90.00 90.00 90.00
Closest atoms and distances in Å follow each position.
Sites, in units of the cell vectors:
1 Sc 0.0000 0.0000 0.0000  4 Be 2.66
2 Sc 0.0000 0.5000 0.5000  4 Be 2.66
3 Sc 0.5000 0.0000 0.5000  4 Be 2.66
4 Sc 0.5000 0.5000 0.0000  4 Be 2.66
5 Be 0.2500 0.2500 0.2500  4 Tl 2.66, 4 Sc 2.66
6 Be 0.2500 0.7500 0.7500  4 Tl 2.66, 4 Sc 2.66
7 Be 0.7500 0.2500 0.7500  4 Tl 2.66, 4 Sc 2.66
8 Be 0.7500 0.7500 0.2500  4 Tl 2.66, 4 Sc 2.66
9 Tl 0.0000 0.0000 0.5000  4 Be 2.66
10 Tl 0.0000 0.5000 0.0000  4 Be 2.66
11 Tl 0.5000 0.0000 0.0000  4 Be 2.66
12 Tl 0.5000 0.5000 0.5000  4 Be 2.66